1.
Computed, not measured: a relaxed structure of Cr2CuAgBi at the GGA-PBE level of DFT.

The space group is P4/mmm (No. 123) and the conventional cell measures 5.315, 5.315 and 5.322 Å, with angles of 90.00, 90.00 and 90.00 degrees. The inequivalent atoms are Cr at (0.000, 0.500, 0.000), Cu at (0.000, 0.000, 0.500), Ag at (0.500, 0.500, 0.500) and Bi at (0.500, 0.500, 0.000).

2.
Computed, not measured: a relaxed structure of HfInTe2 at the GGA-PBE level of DFT.

The space group is I-42d (No. 122) and the conventional cell measures 7.533, 7.533 and 11.698 Å, with angles of 90.00, 90.00 and 90.00 degrees. The inequivalent atoms are Hf at (0.000, 0.000, 0.000), In at (0.000, 0.000, 0.500) and Te at (0.188, 0.250, 0.125).

For the uncorrected formation energy, the calculation gives -14 kJ per mole of atoms.

3.
Computed, not measured: a relaxed structure of NaZn3Ga at the GGA-PBE level of DFT.

The space group is Pm-3m (No. 221) and the conventional cell measures 4.911, 4.911 and 4.911 Å, with angles of 90.00, 90.00 and 90.00 degrees. The inequivalent atoms are Na at (0.000, 0.000, 0.000), Zn at (0.000, 0.500, 0.500) and Ga at (0.500, 0.500, 0.500).

Table of E_tot (eV/atom), in record order: -4.65; -4.89; -1.41